Here is a relaxed structure of LiWSe from Alexandria. Energies are from GGA-PBE.

Cell lengths 4.126, 4.126, 4.126 Å; angles 60.00, 60.00, 60.00 degrees
Site moments in Bohr magnetons follow the coordinates.
Sites, in units of the cell vectors:
Li  0.500  0.500  0.500  0.00
Se  0.250  0.250  0.250  0.00
W  0.000  0.000  0.000  0.17

## Properties
Its spin magnetization is 0.2 μB per cell. The value obtained for the energy above the most stable polymorph in this dataset is 341 meV/atom. As for the total energy: -5.69 eV/atom. The density comes out at 9.016 g cm⁻³. As for the calculated volume: 50 Å³/cell. Its crystal system is cubic.



Here is a relaxed structure of Mg2SI from Alexandria. Energies are from GGA-PBE.

Cell lengths 5.021, 5.021, 5.021 Å; angles 60.00, 60.00, 60.00 degrees
Sites, in units of the cell vectors:
I  0.500  0.500  0.500
S  0.000  0.000  0.000
Mg  0.250  0.250  0.250
Mg  0.750  0.750  0.750

## Properties
Its spin magnetization is 0.0 μB per cell. The value obtained for the energy above the most stable polymorph in this dataset is 306 meV/atom. As for the total energy: -2.62 eV/atom. The density comes out at 3.852 g cm⁻³. As for the calculated volume: 89 Å³/cell. Its crystal system is cubic.



Here is a relaxed structure of ZrTc2Br from Alexandria. Energies are from GGA-PBE.

Cell lengths 7.451, 7.451, 5.906 Å; angles 50.89, 50.89, 90.00 degrees
Sites, in units of the cell vectors:
Br  0.500  0.500  0.000
Br  0.250  0.750  0.500
Tc  0.563  0.125  0.250
Tc  0.187  0.625  0.250
Tc  0.375  0.437  0.750
Tc  0.875  0.813  0.750
Zr  0.000  0.000  0.000
Zr  0.750  0.250  0.500

## Properties
Its spin magnetization is 0.0 μB per cell. The value obtained for the energy above the most stable polymorph in this dataset is 851 meV/atom. As for the total energy: -6.92 eV/atom. The density comes out at 8.232 g cm⁻³. As for the calculated volume: 148 Å³/cell. Its crystal system is tetragonal.



Here is a relaxed structure of CsLiAu2 from Alexandria. Energies are from GGA-PBE.

Cell lengths 3.580, 3.580, 8.131 Å; angles 90.00, 90.00, 90.00 degrees
Sites, in units of the cell vectors:
Cs  0.500  0.500  0.500
Au  0.000  0.000  0.824
Au  0.000  0.000  0.176
Li  0.500  0.500  0.000

## Properties
Its spin magnetization is 0.0 μB per cell. The value obtained for the energy above the most stable polymorph in this dataset is 125 meV/atom. As for the total energy: -2.59 eV/atom. The density comes out at 8.508 g cm⁻³. As for the calculated volume: 104 Å³/cell. Its crystal system is tetragonal.



Here is a relaxed structure of CdInAg2 from Alexandria. Energies are from GGA-PBE.

Cell lengths 5.287, 5.287, 5.287 Å; angles 131.84, 131.84, 70.49 degrees
Sites, in units of the cell vectors:
Cd  0.500  0.500  0.000
Ag  0.000  0.000  0.000
Ag  0.250  0.750  0.500
In  0.750  0.250  0.500

## Properties
Its spin magnetization is 0.0 μB per cell. As for the total energy: -2.34 eV/atom. The density comes out at 9.153 g cm⁻³. As for the calculated volume: 80 Å³/cell. Its crystal system is tetragonal.



Here is a relaxed structure of K2CeBiO4 from Alexandria. Energies are from GGA-PBE.

Cell lengths 3.691, 6.271, 6.603 Å; angles 108.41, 90.00, 90.00 degrees
Site moments in Bohr magnetons follow the coordinates.
Sites, in units of the cell vectors:
K  0.500  0.000  0.500  0.00
K  0.000  0.500  0.500  0.00
Ce  0.500  0.500  0.000  0.71
Bi  0.000  0.000  0.000  0.00
O  0.500  0.242  0.194  -0.01
O  0.500  0.758  0.806  -0.01
O  0.000  0.281  0.809  -0.01
O  0.000  0.719  0.191  -0.01

## Properties
Its spin magnetization is 0.7 μB per cell. As for the total energy: -5.96 eV/atom. The density comes out at 5.625 g cm⁻³. As for the calculated volume: 145 Å³/cell. Its crystal system is monoclinic.



Here is a relaxed structure of NaCoBr4 from Alexandria. Energies are from GGA-PBE.

Cell lengths 6.481, 6.481, 10.535 Å; angles 90.00, 90.00, 103.55 degrees
Site moments in Bohr magnetons follow the coordinates.
Sites, in units of the cell vectors:
Na  0.776  0.224  0.750  0.00
Na  0.224  0.776  0.250  0.00
Co  0.613  0.613  0.000  2.58
Co  0.387  0.387  0.500  2.58
Br  0.214  0.240  0.315  0.23
Br  0.786  0.760  0.815  0.23
Br  0.240  0.214  0.685  0.23
Br  0.740  0.367  0.490  0.24
Br  0.760  0.786  0.185  0.23
Br  0.633  0.260  0.010  0.24
Br  0.367  0.740  0.510  0.24
Br  0.260  0.633  0.990  0.24

## Properties
Its spin magnetization is 8.0 μB per cell. As for the total energy: -3.18 eV/atom. The density comes out at 3.100 g cm⁻³. As for the calculated volume: 430 Å³/cell. Its crystal system is orthorhombic.